Compound: ReTe2PN
Source: Alexandria via LeMat-Bulk
Functional: PBEsol
Structure: optimized geometry

Values from the calculation:
Its uncorrected energy is -6.396 eV per atom. The symmetry is P4/mmm, No. 123.

Structure (CIF):
```
data_ReTe2PN
_chemical_formula_sum 'Re1 Te2 P1 N1'
_symmetry_space_group_name_H-M 'P 1'
_symmetry_Int_Tables_number 1
_cell_length_a 3.7013
_cell_length_b 5.2599
_cell_length_c 5.2599
_cell_angle_alpha 90.00
_cell_angle_beta 90.00
_cell_angle_gamma 90.00
loop_
_symmetry_equiv_pos_as_xyz
'x,y,z'
loop_
_atom_site_label
_atom_site_type_symbol
_atom_site_fract_x
_atom_site_fract_y
_atom_site_fract_z
_atom_site_occupancy
N1 N 0.5000 0.0000 0.0000 1
Te1 Te 0.0000 0.5000 0.0000 1
Re1 Re 0.0000 0.0000 0.0000 1
P1 P 0.5000 0.5000 0.5000 1
Te2 Te 0.0000 0.0000 0.5000 1
```